! GGA+U V2SiBiO8, relaxed; values from VASP
&SYSTEM
  ibrav = 0, nat = 12, ntyp = 4
/
ATOMIC_SPECIES
V 50.94 V.upf
Si 28.09 Si.upf
Bi 208.98 Bi.upf
O 16.00 O.upf
CELL_PARAMETERS angstrom
5.4801 0.0000 0.0000
-2.7400 4.7459 0.0000
0.0000 0.0000 6.2734
ATOMIC_POSITIONS angstrom
V 2.7401 1.5820 1.6089
V 0.0000 3.1639 4.6646
Si 0.0000 0.0000 3.1367
Bi 0.0000 0.0000 0.0000
O 0.0000 3.1639 0.0688
O 1.2244 0.7142 2.0460
O 4.2494 0.7032 2.0460
O 2.7401 1.5820 6.2046
O -1.5093 4.0427 4.2274
O 1.5157 4.0317 4.2274
O -0.0063 1.4175 4.2274
O 2.7464 3.3284 2.0460
! Total energy: -7.105 eV/atom
! Crystal system: trigonal